Record 1
This record from Alexandria via LeMat-Bulk describes a geometry-optimized InCl3 structure. The functional is PBE-GGA.

```
InCl3
1.0
3.855 0.000 0.000
0.000 10.444 0.000
0.000 0.000 8.066
In Cl
2 6
direct
0.000 0.000 0.000 In
0.500 0.500 0.000 In
0.000 0.000 0.500 Cl
0.000 0.500 0.214 Cl
0.000 0.500 0.786 Cl
0.500 0.000 0.214 Cl
0.500 0.000 0.786 Cl
0.500 0.500 0.500 Cl
```

* crystal system: orthorhombic
* uncorrected formation energy: -0.336 eV per atom
* mass density: 2.3 g/cm³
* uncorrected energy: -2.41 eV/atom



Record 2
This record from Alexandria via LeMat-Bulk describes a geometry-optimized InCl2 structure. The functional is PBE-GGA.

```
InCl2
1.0
6.587 0.000 0.000
0.000 6.587 0.000
0.000 0.000 6.962
In Cl
4 8
direct
0.000 0.000 0.250 In
0.000 0.000 0.750 In
0.500 0.500 0.250 In
0.500 0.500 0.750 In
0.207 0.293 0.000 Cl
0.207 0.707 0.500 Cl
0.293 0.207 0.500 Cl
0.293 0.793 0.000 Cl
0.707 0.207 0.000 Cl
0.707 0.793 0.500 Cl
0.793 0.293 0.500 Cl
0.793 0.707 0.000 Cl
```

* crystal system: tetragonal
* uncorrected formation energy: -0.683 eV per atom
* mass density: 4.1 g/cm³
* uncorrected energy: -2.83 eV/atom



Record 3
This record from Alexandria via LeMat-Bulk describes a geometry-optimized In3Cl structure. The functional is PBE-GGA.

```
In3Cl
1.0
11.916 0.000 0.000
0.000 3.600 0.000
-0.601 0.000 5.195
In Cl
6 2
direct
0.000 0.000 0.000 In
0.221 0.500 0.251 In
0.279 0.000 0.749 In
0.500 0.500 0.000 In
0.721 0.000 0.251 In
0.779 0.500 0.749 In
0.000 0.500 0.500 Cl
0.500 0.000 0.500 Cl
```

* crystal system: monoclinic
* uncorrected formation energy: -0.276 eV per atom
* E above lowest polymorph: 13 meV/atom
* mass density: 5.7 g/cm³
* uncorrected energy: -2.79 eV/atom



Record 4
This record from Alexandria via LeMat-Bulk describes a geometry-optimized InCl2 structure. The functional is PBE-GGA.

```
InCl2
1.0
8.446 0.000 0.000
-4.223 7.315 0.000
0.000 0.000 3.626
In Cl
3 6
direct
0.000 0.000 0.000 In
0.333 0.667 0.500 In
0.667 0.333 0.500 In
0.000 0.222 0.500 Cl
0.000 0.557 0.000 Cl
0.222 0.000 0.500 Cl
0.443 0.443 0.000 Cl
0.557 0.000 0.000 Cl
0.778 0.778 0.500 Cl
```

* crystal system: hexagonal
* uncorrected formation energy: -0.787 eV per atom
* mass density: 4.1 g/cm³
* uncorrected energy: -2.93 eV/atom



Record 5
This record from Alexandria via LeMat-Bulk describes a geometry-optimized In4Cl structure. The functional is PBE-GGA.

```
In4Cl
1.0
6.932 0.000 0.000
0.000 6.932 0.000
0.000 0.000 6.932
In Cl
8 2
direct
0.250 0.250 0.250 In
0.250 0.250 0.750 In
0.250 0.750 0.250 In
0.250 0.750 0.750 In
0.750 0.250 0.250 In
0.750 0.250 0.750 In
0.750 0.750 0.250 In
0.750 0.750 0.750 In
0.000 0.000 0.000 Cl
0.500 0.500 0.500 Cl
```

* crystal system: cubic
* uncorrected formation energy: -0.009 eV per atom
* E above lowest polymorph: 163 meV/atom
* mass density: 4.9 g/cm³
* uncorrected energy: -2.57 eV/atom



Record 6
This record from Alexandria via LeMat-Bulk describes a geometry-optimized In3Cl2 structure. The functional is PBE-GGA.

```
In3Cl2
1.0
3.141 1.814 8.884
-3.141 1.814 8.884
0.000 -3.627 8.884
In Cl
6 4
direct
0.142 0.750 0.358 In
0.250 0.642 0.858 In
0.358 0.142 0.750 In
0.642 0.858 0.250 In
0.750 0.358 0.142 In
0.858 0.250 0.642 In
0.183 0.183 0.183 Cl
0.317 0.317 0.317 Cl
0.683 0.683 0.683 Cl
0.817 0.817 0.817 Cl
```

* crystal system: trigonal
* uncorrected formation energy: -0.498 eV per atom
* E above lowest polymorph: 29 meV/atom
* mass density: 4.5 g/cm³
* uncorrected energy: -2.88 eV/atom



Record 7
This record from Alexandria via LeMat-Bulk describes a geometry-optimized In3Cl structure. The functional is PBE-GGA.

```
In3Cl
1.0
4.829 0.000 0.000
0.000 4.829 0.000
0.000 0.000 4.829
In Cl
3 1
direct
0.000 0.000 0.500 In
0.000 0.500 0.000 In
0.500 0.000 0.000 In
0.500 0.500 0.500 Cl
```

* crystal system: cubic
* uncorrected formation energy: -0.186 eV per atom
* E above lowest polymorph: 103 meV/atom
* mass density: 5.6 g/cm³
* uncorrected energy: -2.70 eV/atom



Record 8
This record from Alexandria via LeMat-Bulk describes a geometry-optimized InCl3 structure. The functional is PBE-GGA.

```
InCl3
1.0
5.092 0.000 0.000
0.000 5.092 0.000
0.000 0.000 5.092
In Cl
1 3
direct
0.000 0.000 0.000 In
0.000 0.000 0.500 Cl
0.000 0.500 0.000 Cl
0.500 0.000 0.000 Cl
```

* crystal system: cubic
* uncorrected formation energy: -0.882 eV per atom
* mass density: 2.8 g/cm³
* uncorrected energy: -2.95 eV/atom